No. 1
## Er7Th2Sc2 (PBE)

Data for Er7Th2Sc2 after structural relaxation.

Cell and atoms, written as extended XYZ:
```
11
Lattice="6.153 -0.108 -0.080 -2.386 5.673 -0.080 -0.083 -0.122 9.684" Properties=species:S:1:pos:R:3 pbc="T T T"
Er -0.375 3.245 1.385
Er 0.532 4.585 8.139
Er 4.059 2.197 8.139
Er 3.152 0.857 1.385
Er 0.000 0.000 0.000
Er 1.067 1.577 6.823
Er 2.617 3.866 2.701
Th 3.003 4.436 5.955
Th 0.682 1.007 3.569
Sc 3.798 1.397 4.762
Sc -0.114 4.046 4.762
```

Values from the calculation:
**Symmetry**: C2/m, No. 12
**Size of the total moment**: 0.000 Bohr magnetons per cell
**DOS(E_F)**: 17.322 states/eV/cell
**Energy of formation**: 0.1415 eV per atom
**Excess energy over the best structure of this formula in the dataset**: 0.000 eV per atom

---

No. 2
## RbSm2Cl8 (PBE)

Data for RbSm2Cl8 after structural relaxation.

Cell and atoms, written as extended XYZ:
```
11
Lattice="8.332 -0.034 0.876 1.043 6.637 2.456 0.524 -0.489 7.117" Properties=species:S:1:pos:R:3 pbc="T T T"
Rb 0.000 0.000 0.000
Sm 4.347 1.967 3.491
Sm 5.552 4.147 6.958
Cl 3.520 4.328 2.205
Cl 6.698 6.171 5.376
Cl 2.020 1.346 2.283
Cl 7.879 4.768 8.166
Cl 3.201 -0.057 5.073
Cl 6.378 1.786 8.245
Cl 6.600 2.695 4.855
Cl 3.298 3.419 5.595
```

Values from the calculation:
**Symmetry**: C2/m, No. 12
**Size of the total moment**: 1.085 Bohr magnetons per cell
**DOS(E_F)**: 5.039 states/eV/cell
**Energy relative to the elements, uncorrected**: -1943 meV per atom
**Excess energy over the best structure of this formula in the dataset**: 0.072 eV per atom

---

No. 3
## MgPa3C4 (PBE)

Data for MgPa3C4 after structural relaxation.

Cell and atoms, written as extended XYZ:
```
8
Lattice="-4.050 -0.056 -2.897 1.927 -3.771 -2.621 -2.164 -3.253 3.088" Properties=species:S:1:pos:R:3 pbc="T T T"
Mg 0.000 0.000 0.000
Pa -0.119 -3.512 0.234
Pa -3.107 -1.654 0.096
Pa -1.062 -1.913 -2.759
C -2.025 -0.028 -1.449
C 0.963 -1.885 -1.311
C -1.082 -1.626 1.544
C -2.144 -3.540 -1.215
```

Values from the calculation:
**Symmetry**: Pm-3m, No. 221
**Size of the total moment**: 0.000 Bohr magnetons per cell
**DOS(E_F)**: 4.975 states/eV/cell
**Energy of formation**: -0.1490 eV per atom

---

No. 4
## LiGaIN2 (PBE)

Data for LiGaIN2 after structural relaxation.

Cell and atoms, written as extended XYZ:
```
5
Lattice="4.419 0.000 0.000 0.000 4.419 0.000 0.000 0.000 5.686" Properties=species:S:1:pos:R:3 pbc="T T T"
I 0.000 0.000 2.843
Li 0.000 0.000 0.000
Ga 2.210 2.210 2.843
N 0.000 2.210 0.000
N 2.210 0.000 0.000
```

Values from the calculation:
**Symmetry**: P4/mmm, No. 123
**Size of the total moment**: 4.893 Bohr magnetons per cell
**DOS(E_F)**: 1.641 states/eV/cell
**Energy relative to the elements, uncorrected**: 1427 meV per atom
**Excess energy over the best structure of this formula in the dataset**: 0.685 eV per atom

---

No. 5
## Sr2BeTl2 (PBE)

Data for Sr2BeTl2 after structural relaxation.

Cell and atoms, written as extended XYZ:
```
10
Lattice="-7.269 -1.690 -1.021 1.553 -2.488 -6.938 0.869 -4.919 1.959" Properties=species:S:1:pos:R:3 pbc="T T T"
Sr 0.242 -4.412 -3.839
Sr -3.142 -5.657 -5.467
Sr -5.089 -4.686 -2.162
Sr -1.705 -3.440 -0.534
Tl -1.233 -2.713 -6.268
Tl -5.183 -3.053 -5.368
Tl -4.482 -1.465 -1.692
Tl -0.532 -1.126 -2.591
Be 0.000 0.000 0.000
Be -2.858 -2.089 -3.980
```

Values from the calculation:
**Symmetry**: P4/mbm, No. 127
**Size of the total moment**: 0.000 Bohr magnetons per cell
**DOS(E_F)**: 7.903 states/eV/cell
**Energy of formation**: 0.0733 eV per atom

---

No. 6
## LaSeN2 (PBE)

Data for LaSeN2 after structural relaxation.

Cell and atoms, written as extended XYZ:
```
4
Lattice="2.361 3.747 4.848 4.328 0.394 4.922 5.269 3.143 2.340" Properties=species:S:1:pos:R:3 pbc="T T T"
N 10.720 6.531 10.857
N 1.237 0.754 1.253
Se 0.000 0.000 0.000
La 5.978 3.642 6.055
```

Values from the calculation:
**Symmetry**: R-3m, No. 166
**Size of the total moment**: 0.000 Bohr magnetons per cell
**DOS(E_F)**: 3.827 states/eV/cell
**Energy relative to the elements, uncorrected**: -46 meV per atom
**Excess energy over the best structure of this formula in the dataset**: 0.000 eV per atom

---

No. 7
## Cs2Sr2ReO6 (PBE)

Data for Cs2Sr2ReO6 after structural relaxation.

Cell and atoms, written as extended XYZ:
```
11
Lattice="6.095 0.044 0.108 -2.974 5.320 0.108 -1.057 -1.816 6.825" Properties=species:S:1:pos:R:3 pbc="T T T"
Cs 4.578 0.926 0.108
Cs -1.457 4.438 0.108
Sr -0.453 2.638 3.521
Sr 2.517 0.910 3.521
Re -0.528 -0.908 3.413
O 1.762 3.029 4.704
O -1.356 0.498 4.525
O 0.302 0.519 2.338
O 1.104 -0.933 4.525
O 3.420 3.049 2.516
O 0.960 4.480 2.516
```

Values from the calculation:
**Symmetry**: C2/m, No. 12
**Size of the total moment**: 1.017 Bohr magnetons per cell
**DOS(E_F)**: 5.990 states/eV/cell
**Energy relative to the elements, uncorrected**: -2014 meV per atom

---

No. 8
## Zr2Zn6Cd (PBE)

Data for Zr2Zn6Cd after structural relaxation.

Cell and atoms, written as extended XYZ:
```
9
Lattice="2.982 0.000 0.000 0.000 6.734 -3.888 0.000 0.000 7.776" Properties=species:S:1:pos:R:3 pbc="T T T"
Zr 0.000 2.245 3.888
Zr 2.982 4.489 0.000
Zn 1.491 2.252 1.300
Zn 1.491 4.483 2.588
Zn 1.491 0.000 5.176
Zn 1.491 4.483 5.188
Zn 1.491 2.252 -1.300
Zn 1.491 0.000 2.600
Cd 0.000 0.000 7.776
```

Values from the calculation:
**Symmetry**: P6/mmm, No. 191
**Size of the total moment**: 0.000 Bohr magnetons per cell
**DOS(E_F)**: 3.141 states/eV/cell
**Energy of formation**: -0.1883 eV per atom
**Excess energy over the best structure of this formula in the dataset**: 0.000 eV per atom

---

No. 9
## Li4Cd2Ge (PBE)

Data for Li4Cd2Ge after structural relaxation.

Cell and atoms, written as extended XYZ:
```
14
Lattice="-4.091 3.192 4.877 -1.160 -4.636 2.061 7.731 -1.188 1.680" Properties=species:S:1:pos:R:3 pbc="T T T"
Li -1.359 -0.785 4.182
Li 5.308 -4.197 3.404
Li -2.828 1.565 5.214
Li -1.914 -3.003 5.168
Li 0.205 1.228 6.162
Li 4.394 0.371 3.450
Li 3.839 -1.847 4.436
Li 2.275 -3.859 2.456
Cd -4.041 -0.940 5.467
Cd 6.521 -1.692 3.151
Cd 1.830 -0.665 2.819
Cd 0.650 -1.966 5.799
Ge -0.128 -2.944 3.162
Ge 2.608 0.312 5.455
```

Values from the calculation:
**Symmetry**: P2_1/m, No. 11
**Size of the total moment**: 0.000 Bohr magnetons per cell
**DOS(E_F)**: 2.855 states/eV/cell
**Energy of formation**: -0.1502 eV per atom

---

No. 10
## Sr2LiNiPb (PBE)

Data for Sr2LiNiPb after structural relaxation.

Cell and atoms, written as extended XYZ:
```
5
Lattice="-5.070 0.327 -2.849 1.232 -4.978 -2.763 -2.204 -2.560 3.629" Properties=species:S:1:pos:R:3 pbc="T T T"
Pb -1.102 -1.280 1.814
Sr 0.616 -2.489 -1.382
Sr -2.535 0.163 -1.425
Li -3.021 -3.605 -0.992
Ni 0.000 0.000 0.000
```

Values from the calculation:
**Symmetry**: P4/mmm, No. 123
**Size of the total moment**: 0.000 Bohr magnetons per cell
**DOS(E_F)**: 3.614 states/eV/cell
**Energy of formation**: -0.1140 eV per atom

---

No. 11
## SiH3Se (PBE)

Data for SiH3Se after structural relaxation.

Cell and atoms, written as extended XYZ:
```
5
Lattice="3.727 0.000 0.000 0.000 3.727 0.000 0.000 0.000 3.727" Properties=species:S:1:pos:R:3 pbc="T T T"
H 0.000 1.864 0.000
H 0.000 0.000 1.864
H 1.864 0.000 0.000
Si 1.864 1.864 1.864
Se 0.000 0.000 0.000
```

Values from the calculation:
**Symmetry**: Pm-3m, No. 221
**Size of the total moment**: 0.000 Bohr magnetons per cell
**DOS(E_F)**: 1.349 states/eV/cell
**Excess energy over the best structure of this formula in the dataset**: 1.022 eV per atom

---

No. 12
## HoBeAl3Cu (PBE)

Data for HoBeAl3Cu after structural relaxation.

Cell and atoms, written as extended XYZ:
```
12
Lattice="5.665 0.000 0.000 0.000 6.180 0.000 0.000 -3.090 5.877" Properties=species:S:1:pos:R:3 pbc="T T T"
Ho 4.248 0.000 3.293
Ho 1.416 3.090 2.584
Be 1.416 3.090 5.183
Be 4.248 0.000 0.694
Al 1.416 0.000 1.670
Al 0.000 1.784 0.000
Al 2.832 4.396 0.000
Al 2.832 1.784 0.000
Al 0.000 4.396 0.000
Al 4.248 3.090 4.207
Cu 1.416 0.000 4.155
Cu 4.248 3.090 1.722
```

Values from the calculation:
**Symmetry**: Cmcm, No. 63
**Size of the total moment**: 0.000 Bohr magnetons per cell
**DOS(E_F)**: 5.622 states/eV/cell
**Energy of formation**: -0.0199 eV per atom

---

No. 13
## Pr6Ga3Ni (PBE)

Data for Pr6Ga3Ni after structural relaxation.

Cell and atoms, written as extended XYZ:
```
20
Lattice="5.342 0.000 0.027 0.000 9.262 0.000 -0.058 0.000 11.150" Properties=species:S:1:pos:R:3 pbc="T T T"
Pr 2.617 1.494 10.475
Pr 2.640 1.592 6.158
Pr 2.656 4.628 2.918
Pr 2.629 4.634 8.259
Pr 2.645 7.669 5.019
Pr 2.668 7.768 0.701
Pr 5.317 3.137 4.913
Pr -0.003 3.039 0.569
Pr 5.298 0.003 8.506
Pr -0.014 9.259 2.670
Pr 5.287 6.223 10.608
Pr -0.032 6.125 6.263
Ga 2.628 7.715 8.399
Ga 2.671 4.631 0.013
Ga 2.657 1.547 2.778
Ga 5.328 6.178 2.837
Ga -0.029 0.000 5.575
Ga -0.043 3.084 8.339
Ni 2.642 4.631 5.588
Ni 0.000 0.000 0.000
```

Values from the calculation:
**Symmetry**: Pnnm, No. 58
**Size of the total moment**: 0.000 Bohr magnetons per cell
**DOS(E_F)**: 16.841 states/eV/cell
**Energy of formation**: -0.3195 eV per atom

---

No. 14
## Ca2BePPt6 (PBE)

Data for Ca2BePPt6 after structural relaxation.

Cell and atoms, written as extended XYZ:
```
10
Lattice="-0.143 -4.527 3.873 4.006 -3.622 -4.086 5.084 -2.043 2.384" Properties=species:S:1:pos:R:3 pbc="T T T"
Ca 3.478 -5.633 2.714
Ca 5.470 -4.560 -0.543
Be 5.084 -2.043 2.384
P 1.932 -4.075 -0.107
Pt 3.326 -2.846 1.381
Pt 7.954 -8.278 1.895
Pt 8.019 -6.195 0.115
Pt 0.929 -3.998 2.055
Pt 0.994 -1.915 0.275
Pt 5.621 -7.346 0.789
```

Values from the calculation:
**Symmetry**: C2/m, No. 12
**Size of the total moment**: 0.000 Bohr magnetons per cell
**DOS(E_F)**: 3.450 states/eV/cell
**Energy of formation**: -0.7020 eV per atom

---

No. 15
## CaFeBr2 (PBE)

Data for CaFeBr2 after structural relaxation.

Cell and atoms, written as extended XYZ:
```
4
Lattice="-2.064 -3.295 3.343 -5.082 -0.127 0.670 -2.710 -4.010 -1.693" Properties=species:S:1:pos:R:3 pbc="T T T"
Ca 0.000 0.000 0.000
Fe -4.928 -3.716 1.160
Br -2.464 -1.858 0.580
Br -7.391 -5.573 1.740
```

Values from the calculation:
**Symmetry**: Fm-3m, No. 225
**Size of the total moment**: 3.885 Bohr magnetons per cell
**DOS(E_F)**: 0.683 states/eV/cell
**Energy relative to the elements, uncorrected**: -410 meV per atom
**Excess energy over the best structure of this formula in the dataset**: 0.192 eV per atom

---

No. 16
## Nd3Th5N8 (PBE)

Data for Nd3Th5N8 after structural relaxation.

Cell and atoms, written as extended XYZ:
```
16
Lattice="-4.162 3.785 -4.687 -7.174 -1.389 -0.471 -4.845 4.871 2.516" Properties=species:S:1:pos:R:3 pbc="T T T"
Nd -4.504 4.328 -1.086
Nd -2.423 2.435 1.258
Nd -6.010 1.741 1.022
Th -2.081 1.893 -2.344
Th -5.668 1.198 -2.579
Th 0.000 0.000 0.000
Th -3.587 -0.695 -0.236
Th -8.091 3.633 -1.321
N -6.518 4.301 0.621
N -10.031 3.620 0.391
N -8.556 6.154 -1.674
N -12.155 5.522 -1.907
N -9.664 2.966 -3.264
N -6.151 3.647 -3.033
N -7.626 1.113 -0.969
N -4.027 1.745 -0.736
```

Values from the calculation:
**Symmetry**: R-3m, No. 166
**Size of the total moment**: 0.000 Bohr magnetons per cell
**DOS(E_F)**: 7.321 states/eV/cell
**Energy relative to the elements, uncorrected**: -1525 meV per atom

---

No. 17
## PmNdDy6Er2 (PBE)

Data for PmNdDy6Er2 after structural relaxation.

Cell and atoms, written as extended XYZ:
```
20
Lattice="9.111 -1.977 -2.052 0.820 8.515 -1.958 0.820 -2.272 8.436" Properties=species:S:1:pos:R:3 pbc="T T T"
Pm 3.098 7.709 -2.171
Pm 7.653 -3.444 6.597
Nd 3.098 1.629 3.688
Nd 7.653 2.637 0.738
Dy 1.232 -0.827 6.007
Dy 4.964 -0.780 6.056
Dy 9.519 5.092 -1.581
Dy 5.787 5.045 -1.630
Dy 4.069 6.716 1.085
Dy 2.127 4.418 -1.300
Dy 6.683 -2.451 3.341
Dy 8.624 -0.153 5.726
Dy 2.059 4.671 2.492
Dy 4.137 2.937 0.692
Dy 8.693 -0.406 1.935
Dy 6.614 1.328 3.734
Er 5.360 4.355 3.415
Er 0.836 2.003 0.974
Er 5.392 -0.089 1.011
Er 9.915 2.262 3.452
```

Values from the calculation:
**Symmetry**: C2/c, No. 15
**Size of the total moment**: 0.000 Bohr magnetons per cell
**DOS(E_F)**: 29.860 states/eV/cell
**Energy of formation**: 0.1235 eV per atom

---

No. 18
## SrCaMg2Cu (PBE)

Data for SrCaMg2Cu after structural relaxation.

Cell and atoms, written as extended XYZ:
```
5
Lattice="5.235 0.000 0.000 0.000 5.235 0.000 0.000 0.000 5.569" Properties=species:S:1:pos:R:3 pbc="T T T"
Sr 0.000 0.000 2.785
Ca 2.618 2.618 2.785
Mg 0.000 2.618 0.000
Mg 2.618 0.000 0.000
Cu 0.000 0.000 0.000
```

Values from the calculation:
**Symmetry**: P4/mmm, No. 123
**Size of the total moment**: 0.000 Bohr magnetons per cell
**DOS(E_F)**: 4.029 states/eV/cell
**Energy of formation**: 0.0618 eV per atom
**Excess energy over the best structure of this formula in the dataset**: 0.057 eV per atom

---

No. 19
## Ba3Cu5Te12 (PBE)

Data for Ba3Cu5Te12 after structural relaxation.

Cell and atoms, written as extended XYZ:
```
80
Lattice="15.022 0.000 0.000 -5.007 14.163 0.000 -5.007 -7.081 12.265" Properties=species:S:1:pos:R:3 pbc="T T T"
Ba 8.763 4.426 1.533
Ba 8.763 9.737 1.533
Ba -1.252 6.196 7.666
Ba 1.252 -0.885 4.599
Ba 11.266 0.000 3.066
Ba 1.252 7.081 3.066
Ba 3.755 0.000 9.199
Ba -6.259 7.081 9.199
Ba 3.755 7.967 7.666
Ba 6.259 0.885 4.599
Ba -3.755 -2.656 10.732
Ba -3.755 2.656 10.732
Cu -1.252 3.541 3.066
Cu -2.504 7.081 0.000
Cu 0.000 0.000 0.000
Cu 3.755 2.656 1.533
Cu 5.007 -3.541 6.133
Cu 5.007 7.081 0.000
Cu -3.755 7.967 4.599
Cu 6.259 -4.426 10.732
Cu 6.259 6.196 4.599
Cu 1.252 -3.541 9.199
Cu 3.755 10.622 3.066
Cu 2.504 3.541 6.133
Cu 7.511 0.000 0.000
Cu -2.504 -3.541 6.133
Cu -1.252 0.885 7.666
Cu -1.252 11.507 1.533
Cu -5.007 3.541 6.133
Cu 8.763 -0.885 7.666
Cu 1.252 4.426 10.732
Cu 6.259 3.541 9.199
Te 9.839 1.364 0.155
Te 0.176 4.357 5.029
Te 11.307 3.456 3.761
Te 6.219 2.012 1.259
Te 1.993 5.000 8.349
Te 10.972 7.076 2.217
Te -1.292 8.526 5.020
Te -3.715 12.151 1.259
Te 0.510 9.163 8.349
Te 6.553 7.087 2.217
Te 7.687 4.088 4.873
Te 7.687 12.799 0.155
Te -4.497 6.190 6.288
Te 3.461 5.164 1.113
Te -5.183 10.075 4.873
Te 2.680 -2.724 7.236
Te -0.510 1.190 2.372
Te 3.461 9.004 1.104
Te 6.219 10.706 3.761
Te -0.958 5.159 1.104
Te -3.014 8.271 9.893
Te 3.796 5.637 5.020
Te 7.001 7.973 6.288
Te 5.965 -1.917 11.152
Te 1.212 1.444 7.246
Te -1.993 -0.891 5.977
Te -0.958 8.998 1.113
Te -1.212 -3.625 8.505
Te 8.021 -1.190 2.372
Te 5.965 1.922 11.162
Te 1.546 -1.922 11.162
Te 2.328 9.805 5.029
Te 5.518 5.891 9.893
Te 10.190 -2.993 7.392
Te 9.504 0.891 5.977
Te -2.680 -5.717 12.110
Te 1.546 1.917 11.152
Te 4.497 -2.081 3.916
Te -1.546 -0.005 10.049
Te -2.680 2.993 7.392
Te 8.723 -5.069 11.006
Te 6.299 -1.444 7.246
Te -1.212 5.069 11.006
Te -5.965 0.005 10.049
Te 3.014 2.081 3.916
Te -6.299 3.625 8.505
Te 4.831 2.724 7.236
Te -4.831 5.717 12.110
```

Values from the calculation:
**Symmetry**: Ia-3d, No. 230
**Size of the total moment**: 0.000 Bohr magnetons per cell
**DOS(E_F)**: 89.175 states/eV/cell
**Energy relative to the elements, uncorrected**: -308 meV per atom